# 1
Compound: PaNi4H8Ir
Source: the Alexandria database
Functional: GGA-PBE
Structure: optimized geometry

Cell lengths 5.2884, 5.2884, 13.9785 Å; angles 90.00, 90.00, 120.00 degrees
Space group R3m (No. 160, hexagonal axes)
Asymmetric unit:
Pa 0.0000 0.0000 0.0000
Ni 0.0000 0.0000 0.2730
Ni 0.0131 0.5066 0.1379
H 0.0000 0.0000 0.3972
H 0.0000 0.0000 0.8523
H 0.0892 0.5446 0.4026
H 0.1693 0.3386 0.2109
Ir 0.0000 0.0000 0.6340

Output
calculated total energy	-0.180	Ha/atom
size of the total moment	0.00	μB per atom

# 2
Compound: NiHIrPb2
Source: the Alexandria database
Functional: GGA-PBE
Structure: optimized geometry

Cell lengths 5.040, 5.040, 3.240 Å; angles 90.00, 90.00, 90.00 degrees
Space group P4/mmm (No. 123)
Asymmetric unit:
Ni 0.000 0.000 0.000
H 0.000 0.000 0.500
Ir 0.500 0.500 0.000
Pb 0.000 0.500 0.500

Output
calculated total energy	-0.173	Ha/atom
size of the total moment	0.00	μB per atom